[1]
A geometry-optimized SmB2Ir structure. Source: Alexandria, functional GGA-PBE.

It has space group R-3m (No. 166, hexagonal axes), with a = 3.7047 Å, b = 3.7047 Å, c = 14.3882 Å, α = 90.00°, β = 90.00° and γ = 120.00°. The asymmetric unit holds Sm at (0.0000, 0.0000, 0.0000), B at (0.0000, 0.0000, 0.2018) and Ir at (0.0000, 0.0000, 0.5000).

As for the relative energy among the computed polymorphs: 0.320 eV/f.u. The magnetic moment comes out at 0.00 μB/f.u. Its formation energy is -0.38 eV per atom.

=====

[2]
A geometry-optimized MnRuPt14 structure. Source: Alexandria, functional GGA-PBE.

It has space group Amm2 (No. 38), with a = 9.2153 Å, b = 5.5728 Å, c = 9.6504 Å, α = 90.00°, β = 90.00° and γ = 90.00°. The asymmetric unit holds Mn at (0.0000, 0.0000, 0.0000), Ru at (0.0000, 0.0000, 0.4992), Pt at (0.0000, 0.2500, 0.2522), Pt at (0.2411, 0.2501, 0.0819), Pt at (0.2461, 0.0000, 0.3347), Pt at (0.2465, 0.0000, 0.8345), Pt at (0.5000, 0.0000, 0.1642), Pt at (0.5000, 0.0000, 0.6641) and Pt at (0.5000, 0.2501, 0.4145).

The magnetic moment comes out at 4.10 μB/f.u. Its formation energy is -0.05 eV per atom.

=====

[3]
A geometry-optimized ZrNb2HPt structure. Source: Alexandria, functional GGA-PBE.

It has space group P4/mmm (No. 123), with a = 4.0472 Å, b = 4.0472 Å, c = 4.6366 Å, α = 90.00°, β = 90.00° and γ = 90.00°. The asymmetric unit holds Zr at (0.0000, 0.0000, 0.0000), Nb at (0.0000, 0.5000, 0.5000), H at (0.0000, 0.0000, 0.5000) and Pt at (0.5000, 0.5000, 0.0000).

The magnetic moment comes out at 0.00 μB/f.u. The energy comes out at -39.9 eV per cell.

=====

[4]
A geometry-optimized Ce2HoSnN5 structure. Source: Alexandria, functional GGA-PBE.

It has space group Cmc2_1 (No. 36), with a = 3.5131 Å, b = 14.0375 Å, c = 11.4088 Å, α = 90.00°, β = 90.00° and γ = 90.00°. The asymmetric unit holds Ce at (0.0000, 0.1308, 0.0000), Ce at (0.0000, 0.1380, 0.4783), Ho at (0.0000, 0.2377, 0.7494), Sn at (0.0000, 0.4967, 0.2449), N at (0.0000, 0.0731, 0.7946), N at (0.0000, 0.2756, 0.1043), N at (0.0000, 0.2831, 0.4019), N at (0.0000, 0.3799, 0.8476) and N at (0.0000, 0.4662, 0.5681).

The magnetic moment comes out at 0.00 μB/f.u. The energy comes out at -283.8 eV per cell.

=====

[5]
A geometry-optimized Tl2Cd2IrO6 structure. Source: Alexandria, functional GGA-PBE.

It has space group C2/m (No. 12), with a = 5.8764 Å, b = 10.0065 Å, c = 6.3641 Å, α = 90.00°, β = 104.72° and γ = 90.00°. The asymmetric unit holds Tl at (0.0000, 0.1678, 0.0000), Cd at (0.0000, 0.3385, 0.5000), Ir at (0.0000, 0.0000, 0.5000), O at (0.1903, 0.1428, 0.6715) and O at (0.2165, 0.0000, 0.3048).

The magnetic moment comes out at 0.00 μB/f.u. The energy comes out at -107.4 eV per cell.

=====

[6]
A geometry-optimized La2YSc structure. Source: Alexandria, functional GGA-PBE.

It has space group Cmm2 (No. 35), with a = 3.7550 Å, b = 5.8436 Å, c = 11.8565 Å, α = 90.00°, β = 90.00° and γ = 90.00°. The asymmetric unit holds La at (0.0000, 0.0000, 0.0000), La at (0.0000, 0.5000, 0.2780), Y at (0.0000, 0.5000, 0.7394) and Sc at (0.0000, 0.0000, 0.5144).

As for the relative energy among the computed polymorphs: 0.390 eV/f.u. The magnetic moment comes out at 0.00 μB/f.u. Its formation energy is 0.14 eV per atom.

=====

[7]
A geometry-optimized OsRh2Au structure. Source: Alexandria, functional GGA-PBE.

It has space group C2/m (No. 12), with a = 9.1115 Å, b = 2.7673 Å, c = 4.8412 Å, α = 90.00°, β = 99.64° and γ = 90.00°. The asymmetric unit holds Os at (0.0000, 0.0000, 0.0000), Rh at (0.2448, 0.5000, 0.2350) and Au at (0.0000, 0.5000, 0.5000).

As for the relative energy among the computed polymorphs: 0.766 eV/f.u. The magnetic moment comes out at 0.00 μB/f.u. Its formation energy is 0.26 eV per atom.

=====

[8]
A geometry-optimized KNbAsSe2 structure. Source: Alexandria, functional GGA-PBE.

It has space group P4/mmm (No. 123), with a = 5.3425 Å, b = 5.3425 Å, c = 5.0956 Å, α = 90.00°, β = 90.00° and γ = 90.00°. The asymmetric unit holds K at (0.0000, 0.0000, 0.0000), Nb at (0.5000, 0.5000, 0.5000), As at (0.0000, 0.0000, 0.5000) and Se at (0.0000, 0.5000, 0.0000).

As for the relative energy among the computed polymorphs: 11.027 eV/f.u. The magnetic moment comes out at 0.27 μB/f.u.

=====

[9]
A geometry-optimized Dy2Co2Ag structure. Source: Alexandria, functional GGA-PBE.

It has space group Cmmm (No. 65), with a = 3.8107 Å, b = 13.6026 Å, c = 3.8166 Å, α = 90.00°, β = 90.00° and γ = 90.00°. The asymmetric unit holds Dy at (0.0000, 0.1354, 0.0000), Co at (0.0000, 0.2932, 0.5000) and Ag at (0.0000, 0.5000, 0.5000).

The magnetic moment comes out at 1.14 μB/f.u. Its formation energy is -0.24 eV per atom.

=====

[10]
A geometry-optimized TlFeCl4 structure. Source: Alexandria, functional GGA-PBE.

It has space group P-42c (No. 112), with a = 6.4632 Å, b = 6.4632 Å, c = 13.0403 Å, α = 90.00°, β = 90.00° and γ = 90.00°. The asymmetric unit holds Tl at (0.0000, 0.0000, 0.0000), Fe at (0.0000, 0.5000, 0.2500) and Cl at (0.2047, 0.3079, 0.3470).

As for the relative energy among the computed polymorphs: 0.214 eV/f.u. The magnetic moment comes out at 5.00 μB/f.u.